# 1
First-principles (PBE) data for an optimized crystal structure of Tm2BeSi2Rh5, as listed in the Alexandria database.

Summary:
Raw total energy, eV per atom: -6.91
N(E_F), states/eV/atom: 0.24
Space group: P4/mbm
Calculated density, g/cm³: 9.8
Total magnetic moment, μB per cell: 0.0

abc: 9.6269 9.6269 3.3423
angles: 90.00 90.00 90.00
Last column: nearest neighbours and their distance in Å.
Fractional coordinates of all 20 atoms:
1 Tm 0.1727 0.3273 0.0000  3 Si 2.71-2.93, 6 Rh 2.88-3.03
2 Tm 0.3273 0.8273 0.0000  3 Si 2.71-2.93, 6 Rh 2.88-3.03
3 Tm 0.6727 0.1727 0.0000  3 Si 2.71-2.93, 6 Rh 2.88-3.03
4 Tm 0.8273 0.6727 0.0000  3 Si 2.71-2.93, 6 Rh 2.88-3.03
5 Be 0.0000 0.0000 0.0000  8 Rh 2.66
6 Be 0.5000 0.5000 0.0000  8 Rh 2.66
7 Si 0.1284 0.6284 0.0000  6 Rh 2.40-2.42
8 Si 0.3716 0.1284 0.0000  6 Rh 2.40-2.42
9 Si 0.6284 0.8716 0.0000  6 Rh 2.40-2.42
10 Si 0.8716 0.3716 0.0000  6 Rh 2.40-2.42
11 Rh 0.0000 0.5000 0.5000  4 Si 2.42
12 Rh 0.0667 0.7961 0.5000  2 Si 2.40, 2 Be 2.66
13 Rh 0.2039 0.0667 0.5000  2 Si 2.40, 2 Be 2.66
14 Rh 0.2961 0.5667 0.5000  2 Si 2.40, 2 Be 2.66
15 Rh 0.4333 0.2961 0.5000  2 Si 2.40, 2 Be 2.66
16 Rh 0.5000 0.0000 0.5000  4 Si 2.42
17 Rh 0.5667 0.7039 0.5000  2 Si 2.40, 2 Be 2.66
18 Rh 0.7039 0.4333 0.5000  2 Si 2.40, 2 Be 2.66
19 Rh 0.7961 0.9333 0.5000  2 Si 2.40, 2 Be 2.66
20 Rh 0.9333 0.2039 0.5000  2 Si 2.40, 2 Be 2.66

***

# 2
First-principles (PBE) data for an optimized crystal structure of Sr2NpGe3Pt4, as listed in the Alexandria database.

Summary:
Raw total energy, eV per atom: -6.14
N(E_F), states/eV/atom: 0.97
Space group: P-4m2
Calculated density, g/cm³: 10.8
Total magnetic moment, μB per cell: 3.9
DFT formation energy, eV/atom: -0.71

abc: 4.4180 4.4180 11.0602
angles: 90.00 90.00 90.00
Last column: nearest neighbours and their distance in Å.
Fractional coordinates of all 10 atoms:
1 Sr 0.0000 0.5000 0.2308  6 Ge 3.37-3.71, 8 Pt 3.37-3.38, 2 Np 3.71
2 Sr 0.5000 0.0000 0.7692  6 Ge 3.37-3.71, 8 Pt 3.37-3.38, 2 Np 3.71
3 Np 0.0000 0.0000 0.5000  4 Pt 2.80, 4 Ge 3.12
4 Ge 0.0000 0.5000 0.8823  5 Pt 2.50-2.56
5 Ge 0.5000 0.0000 0.1177  5 Pt 2.50-2.56
6 Ge 0.5000 0.5000 0.5000  4 Pt 2.80, 4 Np 3.12
7 Pt 0.0000 0.0000 0.0000  4 Ge 2.56
8 Pt 0.0000 0.5000 0.6559  3 Ge 2.50-2.80, 2 Np 2.80
9 Pt 0.5000 0.0000 0.3441  3 Ge 2.50-2.80, 2 Np 2.80
10 Pt 0.5000 0.5000 0.0000  4 Ge 2.56

***

# 3
First-principles (PBE) data for an optimized crystal structure of Tm5In3, as listed in the Alexandria database.

Summary:
Raw total energy, eV per atom: -4.18
N(E_F), states/eV/atom: 1.27
Space group: P6_3/mcm
Calculated density, g/cm³: 8.8
Total magnetic moment, μB per cell: 0.0
DFT formation energy, eV/atom: -0.36

abc: 8.9481 8.9481 6.4397
angles: 90.00 90.00 120.00
Last column: nearest neighbours and their distance in Å.
Fractional coordinates of all 16 atoms:
1 Tm 0.0000 0.2348 0.2500  3 In 3.13-3.24
2 Tm 0.0000 0.7652 0.7500  3 In 3.13-3.24
3 Tm 0.2348 0.0000 0.2500  3 In 3.13-3.24
4 Tm 0.2348 0.2348 0.7500  3 In 3.13-3.24
5 Tm 0.3333 0.6667 0.0000  6 In 3.17, 2 Tm 3.22
6 Tm 0.3333 0.6667 0.5000  6 In 3.17, 2 Tm 3.22
7 Tm 0.6667 0.3333 0.0000  6 In 3.17, 2 Tm 3.22
8 Tm 0.6667 0.3333 0.5000  6 In 3.17, 2 Tm 3.22
9 Tm 0.7652 0.0000 0.7500  3 In 3.13-3.24
10 Tm 0.7652 0.7652 0.2500  3 In 3.13-3.24
11 In 0.0000 0.4025 0.7500  7 Tm 3.13-3.24
12 In 0.0000 0.5975 0.2500  7 Tm 3.13-3.24
13 In 0.4025 0.0000 0.7500  7 Tm 3.13-3.24
14 In 0.4025 0.4025 0.2500  7 Tm 3.13-3.24
15 In 0.5975 0.0000 0.2500  7 Tm 3.13-3.24
16 In 0.5975 0.5975 0.7500  7 Tm 3.13-3.24

***

# 4
First-principles (PBE) data for an optimized crystal structure of SbPC, as listed in the Alexandria database.

Summary:
Raw total energy, eV per atom: -5.73
N(E_F), states/eV/atom: 0.04
Space group: P1
Calculated density, g/cm³: 4.2
Total magnetic moment, μB per cell: 0.0

abc: 4.0973 4.4591 7.6580
angles: 76.09 75.98 88.63
Last column: nearest neighbours and their distance in Å.
Fractional coordinates of all 6 atoms:
1 Sb 0.0000 0.0000 0.0000  2 P 2.64-2.70, 1 Sb 2.94
2 Sb 0.2209 0.4665 0.6464  1 C 2.20
3 P 0.4777 0.3542 0.0514  1 C 1.80
4 P 0.6612 0.1824 0.4528  2 C 1.77-1.84
5 C 0.0717 0.3403 0.4150  1 C 1.38
6 C 0.3800 0.3142 0.2978  1 C 1.38

***

# 5
First-principles (PBE) data for an optimized crystal structure of SmPu2N4, as listed in the Alexandria database.

Summary:
Raw total energy, eV per atom: -10.73
N(E_F), states/eV/atom: 1.61
Space group: Cmcm
Calculated density, g/cm³: 11.3
Total magnetic moment, μB per cell: 14.0

abc: 5.9249 5.9249 10.5170
angles: 90.00 90.00 146.45
Last column: nearest neighbours and their distance in Å.
Fractional coordinates of all 14 atoms:
1 Sm 0.1069 0.8931 0.7500  6 N 2.40-2.67
2 Sm 0.8931 0.1069 0.2500  6 N 2.40-2.67
3 Pu 0.3680 0.6320 0.5696  6 N 2.14-2.39
4 Pu 0.3680 0.6320 0.9304  6 N 2.14-2.39
5 Pu 0.6320 0.3680 0.0696  6 N 2.14-2.39
6 Pu 0.6320 0.3680 0.4304  6 N 2.14-2.39
7 N 0.0000 0.0000 0.0000  4 Pu 2.39
8 N 0.0000 0.0000 0.5000  4 Pu 2.39
9 N 0.2720 0.7280 0.1056  3 Pu 2.14-2.36
10 N 0.2720 0.7280 0.3944  3 Pu 2.14-2.36
11 N 0.4588 0.5412 0.7500  2 Pu 2.16, 2 Sm 2.40
12 N 0.5412 0.4588 0.2500  2 Pu 2.16, 2 Sm 2.40
13 N 0.7280 0.2720 0.6056  3 Pu 2.14-2.36
14 N 0.7280 0.2720 0.8944  3 Pu 2.14-2.36

***

# 6
First-principles (PBE) data for an optimized crystal structure of Ac2TlHg3, as listed in the Alexandria database.

Summary:
Raw total energy, eV per atom: -2.33
N(E_F), states/eV/atom: 0.89
Space group: Fmmm
Calculated density, g/cm³: 11.5
Total magnetic moment, μB per cell: 0.0
DFT formation energy, eV/atom: -0.42

abc: 10.3149 9.7791 6.4995
angles: 75.66 66.71 37.62
Last column: nearest neighbours and their distance in Å.
Fractional coordinates of all 12 atoms:
1 Ac 0.2451 0.7549 0.7549  10 Hg 3.54-3.60, 2 Tl 3.59, 1 Ac 3.89
2 Ac 0.2500 0.2500 0.2500  4 Tl 3.58, 8 Hg 3.58-3.59, 2 Ac 3.97
3 Ac 0.7500 0.7500 0.7500  4 Tl 3.58, 8 Hg 3.58-3.59, 2 Ac 3.97
4 Ac 0.7549 0.2451 0.2451  10 Hg 3.54-3.60, 2 Tl 3.59, 1 Ac 3.89
5 Tl 0.3338 0.3338 0.6662  3 Hg 2.99-3.01
6 Tl 0.6662 0.6662 0.3338  3 Hg 2.99-3.01
7 Hg 0.1656 0.1656 0.8344  2 Hg 2.96, 1 Tl 3.01
8 Hg 0.1666 0.6685 0.3315  2 Hg 2.95-2.96, 1 Tl 2.99
9 Hg 0.3315 0.8334 0.1666  2 Hg 2.95-2.96, 1 Tl 2.99
10 Hg 0.6685 0.1666 0.8334  2 Hg 2.95-2.96, 1 Tl 2.99
11 Hg 0.8334 0.3315 0.6685  2 Hg 2.95-2.96, 1 Tl 2.99
12 Hg 0.8344 0.8344 0.1656  2 Hg 2.96, 1 Tl 3.01

***

# 7
First-principles (PBE) data for an optimized crystal structure of TbScCu10, as listed in the Alexandria database.

Summary:
Raw total energy, eV per atom: -4.49
N(E_F), states/eV/atom: 0.62
Space group: Pmmm
Calculated density, g/cm³: 8.0
Total magnetic moment, μB per cell: 0.0
DFT formation energy, eV/atom: -0.16

abc: 4.1059 4.9710 8.5768
angles: 90.00 90.00 90.00
Last column: nearest neighbours and their distance in Å.
Fractional coordinates of all 12 atoms:
1 Tb 0.0000 0.0000 0.0000  18 Cu 2.90-3.24
2 Sc 0.0000 0.5000 0.5000  6 Cu 2.79-2.84
3 Cu 0.0000 0.0000 0.3399  7 Cu 2.47-2.75
4 Cu 0.0000 0.0000 0.6601  7 Cu 2.47-2.75
5 Cu 0.0000 0.5000 0.1749  6 Cu 2.49-2.54
6 Cu 0.0000 0.5000 0.8251  6 Cu 2.49-2.54
7 Cu 0.5000 0.0000 0.5000  8 Cu 2.46-2.47
8 Cu 0.5000 0.2515 0.2536  8 Cu 2.46-2.52
9 Cu 0.5000 0.2515 0.7464  8 Cu 2.46-2.52
10 Cu 0.5000 0.5000 0.0000  8 Cu 2.50-2.54
11 Cu 0.5000 0.7485 0.2536  8 Cu 2.46-2.52
12 Cu 0.5000 0.7485 0.7464  8 Cu 2.46-2.52

***

# 8
First-principles (PBE) data for an optimized crystal structure of Cs2GeBr7, as listed in the Alexandria database.

Summary:
Raw total energy, eV per atom: -2.72
N(E_F), states/eV/atom: 0.63
Space group: I4/mmm
Calculated density, g/cm³: 4.0
Total magnetic moment, μB per cell: 0.0

abc: 8.0190 8.0190 8.0190
angles: 117.87 117.87 93.74
Last column: nearest neighbours and their distance in Å.
Fractional coordinates of all 10 atoms:
1 Cs 0.2500 0.7500 0.5000  12 Br 4.03-4.14
2 Cs 0.7500 0.2500 0.5000  12 Br 4.03-4.14
3 Ge 0.0000 0.0000 0.0000  6 Br 2.54-2.59
4 Br 0.2172 0.2172 0.4344  1 Ge 2.54
5 Br 0.2172 0.7828 0.0000  1 Ge 2.54
6 Br 0.2366 0.2366 0.0000  1 Ge 2.59, 1 Br 2.89
7 Br 0.5000 0.5000 0.0000  2 Br 2.89
8 Br 0.7634 0.7634 0.0000  1 Ge 2.59, 1 Br 2.89
9 Br 0.7828 0.2172 0.0000  1 Ge 2.54
10 Br 0.7828 0.7828 0.5656  1 Ge 2.54

***

# 9
First-principles (PBE) data for an optimized crystal structure of As3Rh, as listed in the Alexandria database.

Summary:
Raw total energy, eV per atom: -5.07
N(E_F), states/eV/atom: 0.30
Space group: Pm-3m
Calculated density, g/cm³: 7.8
Total magnetic moment, μB per cell: 0.0
DFT formation energy, eV/atom: 0.26

abc: 4.1163 4.1163 4.1163
angles: 90.00 90.00 90.00
Last column: nearest neighbours and their distance in Å.
Fractional coordinates of all 4 atoms:
1 As 0.0000 0.0000 0.5000  4 Rh 2.91, 8 As 2.91
2 As 0.0000 0.5000 0.0000  4 Rh 2.91, 8 As 2.91
3 As 0.5000 0.0000 0.0000  4 Rh 2.91, 8 As 2.91
4 Rh 0.5000 0.5000 0.5000  12 As 2.91

***

# 10
First-principles (PBE) data for an optimized crystal structure of Pm4GeBi2Se, as listed in the Alexandria database.

Summary:
Raw total energy, eV per atom: -5.51
N(E_F), states/eV/atom: 0.18
Space group: P2/m
Calculated density, g/cm³: 7.9
Total magnetic moment, μB per cell: 0.0

abc: 7.6091 4.3864 7.6995
angles: 90.00 109.13 90.00
Last column: nearest neighbours and their distance in Å.
Fractional coordinates of all 8 atoms:
1 Pm 0.2392 0.0000 0.2294  2 Ge 3.02, 1 Se 3.06, 3 Bi 3.18-3.22
2 Pm 0.2487 0.5000 0.7681  1 Ge 3.00, 2 Se 3.07, 3 Bi 3.18-3.24
3 Pm 0.7513 0.5000 0.2319  1 Ge 3.00, 2 Se 3.07, 3 Bi 3.18-3.24
4 Pm 0.7608 0.0000 0.7706  2 Ge 3.02, 1 Se 3.06, 3 Bi 3.18-3.22
5 Ge 0.0000 0.5000 0.0000  6 Pm 3.00-3.02
6 Bi 0.0000 0.0000 0.5000  6 Pm 3.18
7 Bi 0.5000 0.5000 0.5000  6 Pm 3.22-3.24
8 Se 0.5000 0.0000 0.0000  6 Pm 3.06-3.07

***

# 11
First-principles (PBE) data for an optimized crystal structure of Cu2SbAs, as listed in the Alexandria database.

Summary:
Raw total energy, eV per atom: -4.07
N(E_F), states/eV/atom: 0.35
Space group: Pmmm
Calculated density, g/cm³: 7.4
Total magnetic moment, μB per cell: 0.0

abc: 3.0514 3.1963 7.4139
angles: 90.00 90.00 90.00
Last column: nearest neighbours and their distance in Å.
Fractional coordinates of all 4 atoms:
1 Cu 0.0000 0.0000 0.1951  4 As 2.64, 2 Sb 2.77, 1 Cu 2.89
2 Cu 0.0000 0.0000 0.8049  4 As 2.64, 2 Sb 2.77, 1 Cu 2.89
3 Sb 0.0000 0.5000 0.5000  4 Cu 2.77, 2 Sb 3.05
4 As 0.5000 0.5000 0.0000  8 Cu 2.64

***

# 12
First-principles (PBE) data for an optimized crystal structure of TmPd2Pb, as listed in the Alexandria database.

Summary:
Raw total energy, eV per atom: -5.35
N(E_F), states/eV/atom: 0.47
Space group: Fm-3m
Calculated density, g/cm³: 12.2
Total magnetic moment, μB per cell: 0.0
DFT formation energy, eV/atom: -0.71

abc: 6.8439 6.8439 6.8439
angles: 90.00 90.00 90.00
Last column: nearest neighbours and their distance in Å.
Fractional coordinates of all 16 atoms:
1 Tm 0.0000 0.0000 0.0000  8 Pd 2.96
2 Tm 0.0000 0.5000 0.5000  8 Pd 2.96
3 Tm 0.5000 0.0000 0.5000  8 Pd 2.96
4 Tm 0.5000 0.5000 0.0000  8 Pd 2.96
5 Pd 0.2500 0.2500 0.2500  4 Pb 2.96, 4 Tm 2.96
6 Pd 0.2500 0.2500 0.7500  4 Pb 2.96, 4 Tm 2.96
7 Pd 0.2500 0.7500 0.2500  4 Tm 2.96, 4 Pb 2.96
8 Pd 0.2500 0.7500 0.7500  4 Pb 2.96, 4 Tm 2.96
9 Pd 0.7500 0.2500 0.2500  4 Tm 2.96, 4 Pb 2.96
10 Pd 0.7500 0.2500 0.7500  4 Pb 2.96, 4 Tm 2.96
11 Pd 0.7500 0.7500 0.2500  4 Pb 2.96, 4 Tm 2.96
12 Pd 0.7500 0.7500 0.7500  4 Tm 2.96, 4 Pb 2.96
13 Pb 0.0000 0.0000 0.5000  8 Pd 2.96
14 Pb 0.0000 0.5000 0.0000  8 Pd 2.96
15 Pb 0.5000 0.0000 0.0000  8 Pd 2.96
16 Pb 0.5000 0.5000 0.5000  8 Pd 2.96

***

Among the records above, which one has the lowest raw total energy? SmPu2N4